The following is a PBE calculation of an optimized crystal structure of LaZnFe, from Alexandria.

## Properties
* formation energy from the elements: -0.0142 eV/atom
* N(E_F): 1.07 states/eV/f.u.

a b c (Å): 6.550 10.733 6.791
angles (deg): 90.00 90.00 90.00
Space group Cmce (No. 64)
One atom of each set of equivalent atoms:
La: 0.000 0.197 0.083 [8 per cell]
Zn: 0.250 0.029 0.750 [8 per cell]
Fe: 0.000 0.103 0.490 [8 per cell]